1.
{
  "formula": "MgFeHg2",
  "functional": "PBE",
  "state": "relaxed",
  "cell": [[-0.748, 9.458, 0.507], [-2.952, 8.662, 2.553], [0.018, 8.849, 3.460]],
  "species": ["Fe", "Hg", "Hg", "Mg"],
  "frac_coords": [[0.750, 0.750, 0.750], [0.005, 0.005, 0.005], [0.495, 0.495, 0.495], [0.250, 0.250, 0.250]],
  "formation_energy_mev_per_atom": 277,
  "dos_at_fermi_per_ev_atom": 0.9359,
  "final_energy_ev_per_atom": -2.3878,
  "magmom_total_mub_per_atom": 0.648,
  "volume_a3_per_atom": 19.54
}

***

2.
{
  "formula": "Mg4FeHg",
  "functional": "PBE",
  "state": "relaxed",
  "cell": [[1.135, -1.090, 5.404], [0.738, 4.237, 3.630], [-3.874, 1.028, 3.952]],
  "species": ["Fe", "Mg", "Mg", "Mg", "Mg", "Hg"],
  "frac_coords": [[0.750, 0.750, 0.750], [0.874, 0.375, 0.375], [0.375, 0.375, 0.874], [0.375, 0.874, 0.375], [0.375, 0.375, 0.375], [0.000, 0.000, 0.000]],
  "formation_energy_mev_per_atom": 398,
  "dos_at_fermi_per_ev_atom": 0.9479,
  "final_energy_ev_per_atom": -2.1257,
  "magmom_total_mub_per_atom": 0.460,
  "volume_a3_per_atom": 21.01
}

***

3.
{
  "formula": "MgFeHg2",
  "functional": "PBE",
  "state": "relaxed",
  "cell": [[-1.613, -2.686, 2.886], [3.327, -2.600, -0.560], [5.609, 1.946, 8.090]],
  "species": ["Fe", "Fe", "Hg", "Hg", "Hg", "Hg", "Mg", "Mg"],
  "frac_coords": [[0.750, 0.250, 0.500], [0.000, 0.000, 0.000], [0.375, 0.363, 0.750], [0.113, 0.625, 0.250], [0.875, 0.887, 0.750], [0.637, 0.125, 0.250], [0.250, 0.750, 0.500], [0.500, 0.500, 0.000]],
  "formation_energy_mev_per_atom": 415,
  "dos_at_fermi_per_ev_atom": 1.1806,
  "final_energy_ev_per_atom": -2.2504,
  "magmom_total_mub_per_atom": 0.693,
  "volume_a3_per_atom": 21.71
}